[1]
VASP calculation (GGA-PBEsol) on a geometry-optimized Ca2LaAg structure.

Properties
DOS at the Fermi energy = 0.69 states/eV per atom
Calculated density = 4582 kg/m3
Raw total energy = -3.178 eV/atom
Energy above the most stable polymorph in this dataset = 149 meV per atom
E_form = 0.053 eV per atom

Cell: 7.796 7.796 7.796 Å, 90.00 90.00 90.00°
Fractional coordinates of all 16 atoms:
Ca 0.000 0.000 0.000
Ca 0.000 0.500 0.500
Ca 0.250 0.250 0.250
Ca 0.250 0.750 0.750
Ca 0.500 0.000 0.500
Ca 0.500 0.500 0.000
Ca 0.750 0.250 0.750
Ca 0.750 0.750 0.250
La 0.250 0.250 0.750
La 0.250 0.750 0.250
La 0.750 0.250 0.250
La 0.750 0.750 0.750
Ag 0.000 0.000 0.500
Ag 0.000 0.500 0.000
Ag 0.500 0.000 0.000
Ag 0.500 0.500 0.500

---

[2]
VASP calculation (GGA-PBEsol) on a geometry-optimized CaLa4Ag structure.

Properties
DOS at the Fermi energy = 1.54 states/eV per atom
Calculated density = 5961 kg/m3
Raw total energy = -4.123 eV/atom
E_form = 0.349 eV per atom

Cell: 6.520 6.520 6.520 Å, 60.00 60.00 60.00°
Fractional coordinates of all 6 atoms:
Ca 0.000 0.000 0.000
La 0.132 0.623 0.623
La 0.623 0.132 0.623
La 0.623 0.623 0.132
La 0.623 0.623 0.623
Ag 0.250 0.250 0.250

---

[3]
VASP calculation (GGA-PBEsol) on a geometry-optimized Ca2LaAg structure.

Properties
DOS at the Fermi energy = 1.17 states/eV per atom
Calculated density = 4070 kg/m3
Raw total energy = -3.220 eV/atom
Energy above the most stable polymorph in this dataset = 107 meV per atom
E_form = 0.011 eV per atom

Cell: 3.797 3.797 32.045 Å, 90.00 90.00 120.00°
Fractional coordinates of all 12 atoms:
Ca 0.000 0.000 0.000
Ca 0.000 0.000 0.232
Ca 0.333 0.667 0.667
Ca 0.333 0.667 0.899
Ca 0.667 0.333 0.333
Ca 0.667 0.333 0.566
La 0.000 0.000 0.765
La 0.333 0.667 0.431
La 0.667 0.333 0.098
Ag 0.000 0.000 0.500
Ag 0.333 0.667 0.167
Ag 0.667 0.333 0.833